# 1
A plane-wave DFT calculation with PBE was carried out for an optimized crystal structure of VGe.

Summary:
Crystal system   cubic
DOS at the Fermi energy   1.324 states/eV/atom
Density   3.7 g cm⁻³

Cell lengths 7.6005, 7.6005, 7.6005 Å; angles 90.00, 90.00, 90.00 degrees
Element x y z (fractional)
V 0.1173 0.1173 0.1173
V 0.1173 0.8827 0.8827
V 0.8827 0.1173 0.8827
V 0.8827 0.8827 0.1173
V 0.6173 0.6173 0.6173
V 0.6173 0.3827 0.3827
V 0.3827 0.6173 0.3827
V 0.3827 0.3827 0.6173
Ge 0.3037 0.3037 0.3037
Ge 0.3037 0.6963 0.6963
Ge 0.6963 0.3037 0.6963
Ge 0.6963 0.6963 0.3037
Ge 0.8037 0.8037 0.8037
Ge 0.8037 0.1963 0.1963
Ge 0.1963 0.8037 0.1963
Ge 0.1963 0.1963 0.8037

---

# 2
A plane-wave DFT calculation with PBE was carried out for an optimized crystal structure of VGe2.

Summary:
Crystal system   tetragonal
DOS at the Fermi energy   0.773 states/eV/atom
Density   6.8 g cm⁻³

Cell lengths 5.0094, 5.0355, 5.0355 Å; angles 75.68, 60.17, 60.17 degrees
Element x y z (fractional)
V 0.2500 0.0000 0.0000
V 0.7500 0.0000 0.0000
Ge 0.8417 0.5000 0.8166
Ge 0.1583 0.5000 0.1834
Ge 0.3417 0.8166 0.5000
Ge 0.6583 0.1834 0.5000

---

Number 1: DFT formation energy 0.755 eV/atom, volume 27.44 Å³ per atom, magnetization 0.000 μB/f.u.. Number 2: DFT formation energy -0.105 eV/atom, volume 15.93 Å³ per atom, magnetization 0.000 μB/f.u..